Entry 1:
Computed, not measured: a geometry-optimized Ho8Bi5Pb structure at the PBE level of DFT.

Results
Calculated total energy in eV/atom: -4.935
Symmetry: I-4 (82)
DOS(E_F) in states/eV per atom: 1.230
Energy relative to the elements in eV per atom: -0.67

a b c (Å): 8.103 8.103 8.103
angles (deg): 109.48 109.46 109.48
Sites, in units of the cell vectors:
Ho  0.776  0.253  0.378
Ho  0.981  0.105  0.729
Ho  0.125  0.748  0.019
Ho  0.623  0.895  0.875
Ho  0.271  0.252  0.377
Ho  0.622  0.398  0.875
Ho  0.477  0.602  0.224
Ho  0.125  0.747  0.523
Bi  0.749  0.626  0.624
Bi  0.376  0.125  0.003
Bi  0.500  0.000  0.500
Bi  0.877  0.875  0.251
Bi  0.997  0.374  0.123
Pb  0.250  0.500  0.750

Entry 2:
Computed, not measured: a geometry-optimized Ho8BiPb5 structure at the PBE level of DFT.

Results
Calculated total energy in eV/atom: -4.770
Symmetry: I-4 (82)
DOS(E_F) in states/eV per atom: 0.601
Energy relative to the elements in eV per atom: -0.55

a b c (Å): 8.106 8.106 8.106
angles (deg): 109.46 109.50 109.46
Sites, in units of the cell vectors:
Pb  0.873  0.876  0.249
Pb  0.373  0.124  0.997
Pb  0.003  0.376  0.127
Pb  0.500  0.000  0.500
Pb  0.751  0.624  0.627
Ho  0.763  0.248  0.371
Ho  0.627  0.895  0.875
Ho  0.268  0.248  0.373
Ho  0.125  0.752  0.020
Ho  0.629  0.392  0.877
Ho  0.123  0.752  0.516
Ho  0.980  0.105  0.732
Ho  0.484  0.608  0.237
Bi  0.250  0.500  0.750

Entry 3:
Computed, not measured: a geometry-optimized Ho4BiPb2 structure at the PBE level of DFT.

Results
Calculated total energy in eV/atom: -4.675
Symmetry: P2_1/m (11)
DOS(E_F) in states/eV per atom: 0.401
Energy relative to the elements in eV per atom: -0.45

a b c (Å): 6.206 6.600 10.317
angles (deg): 90.00 98.82 90.00
Sites, in units of the cell vectors:
Ho  0.033  0.250  0.169
Ho  0.573  0.504  0.269
Ho  0.135  0.750  0.451
Ho  0.573  0.996  0.269
Ho  0.967  0.750  0.831
Ho  0.427  0.496  0.731
Ho  0.865  0.250  0.549
Ho  0.427  0.004  0.731
Pb  0.507  0.750  0.993
Pb  0.315  0.250  0.459
Pb  0.493  0.250  0.007
Pb  0.685  0.750  0.541
Bi  0.953  0.250  0.847
Bi  0.047  0.750  0.153

Entry 4:
Computed, not measured: a geometry-optimized HoBiPb2 structure at the PBE level of DFT.

Results
Calculated total energy in eV/atom: -3.819
Symmetry: R-3m (166)
DOS(E_F) in states/eV per atom: 0.778
Energy relative to the elements in eV per atom: 0.15

a b c (Å): 3.496 3.496 12.415
angles (deg): 81.91 81.91 60.00
Sites, in units of the cell vectors:
Ho  0.000  0.000  0.000
Pb  0.086  0.086  0.742
Pb  0.914  0.914  0.258
Bi  0.500  0.500  0.500

Entry 5:
Computed, not measured: a geometry-optimized Ho5Bi2Pb2 structure at the PBE level of DFT.

Results
Calculated total energy in eV/atom: -4.610
Symmetry: Ima2 (46)
DOS(E_F) in states/eV per atom: 0.534
Energy relative to the elements in eV per atom: -0.38

a b c (Å): 7.723 8.338 10.587
angles (deg): 113.19 111.39 90.00
Sites, in units of the cell vectors:
Pb  0.500  0.461  0.000
Pb  0.285  0.420  0.500
Pb  0.000  0.961  0.000
Pb  0.715  0.920  0.500
Ho  0.489  0.202  0.691
Ho  0.144  0.165  0.866
Ho  0.057  0.732  0.500
Ho  0.511  0.511  0.309
Ho  0.702  0.702  0.691
Ho  0.298  0.011  0.309
Ho  0.856  0.298  0.134
Ho  0.223  0.665  0.866
Ho  0.943  0.232  0.500
Ho  0.777  0.798  0.134
Bi  0.867  0.426  0.806
Bi  0.439  0.926  0.806
Bi  0.561  0.120  0.194
Bi  0.133  0.620  0.194

Entry 6:
Computed, not measured: a geometry-optimized HoPuBiPb structure at the PBE level of DFT.

Results
Calculated total energy in eV/atom: -6.923
Symmetry: F-43m (216)
DOS(E_F) in states/eV per atom: 3.401
Energy relative to the elements in eV per atom: -0.30

a b c (Å): 5.463 5.463 5.463
angles (deg): 60.00 60.00 60.00
Site moments in Bohr magnetons follow the coordinates.
Sites, in units of the cell vectors:
Pu  0.000  0.000  0.000  5.50
Pb  0.250  0.250  0.250  -0.04
Bi  0.750  0.750  0.750  -0.04
Ho  0.500  0.500  0.500  0.20

Entry 7:
Computed, not measured: a geometry-optimized Ho4BiSb2Pb structure at the PBE level of DFT.

Results
Calculated total energy in eV/atom: -5.107
Symmetry: P2/m (10)
DOS(E_F) in states/eV per atom: 0.426
Raw formation energy in kJ/mol of formula units: -648

a b c (Å): 4.350 7.719 7.617
angles (deg): 71.18 90.00 90.00
Sites, in units of the cell vectors:
Sb  0.500  0.000  0.500
Sb  0.000  0.000  0.000
Ho  0.500  0.243  0.753
Ho  0.000  0.758  0.747
Ho  0.000  0.242  0.253
Ho  0.500  0.757  0.247
Pb  0.500  0.500  0.000
Bi  0.000  0.500  0.500

Entry 8:
Computed, not measured: a geometry-optimized Ho4Bi2SbPb structure at the PBE level of DFT.

Results
Calculated total energy in eV/atom: -5.009
Symmetry: P2/m (10)
DOS(E_F) in states/eV per atom: 0.376
Raw formation energy in kJ/mol of formula units: -595

a b c (Å): 4.390 7.674 7.727
angles (deg): 70.94 90.00 90.00
Sites, in units of the cell vectors:
Bi  0.000  0.000  0.000
Bi  0.500  0.000  0.500
Ho  0.500  0.747  0.248
Ho  0.000  0.744  0.754
Ho  0.500  0.253  0.752
Ho  0.000  0.256  0.246
Sb  0.500  0.500  0.000
Pb  0.000  0.500  0.500